#one
The following is a DFT calculation (SCAN) of a PBEsol-optimized structure of CrCuTe2.

Values from the calculation:
Total magnetization in μB per formula unit: 3.21
DOS(E_F) in states/eV/cell: 1.8
Calculated volume in Å³/cell: 77.30
Symmetry: Fm-3m

abc: 4.7814 4.7814 4.7814
angles: 60.00 60.00 60.00
With the nearest neighbours (Å) after each atom.
Fractional coordinates of all 4 atoms:
Cr 0.0000 0.0000 0.0000  8 Te 2.93
Cu 0.5000 0.5000 0.5000  8 Te 2.93
Te 0.2500 0.2500 0.2500  4 Cu 2.93, 4 Cr 2.93
Te 0.7500 0.7500 0.7500  4 Cr 2.93, 4 Cu 2.93


#two
The following is a DFT calculation (SCAN) of a PBEsol-optimized structure of CrCuTe2.

Values from the calculation:
Total magnetization in μB per formula unit: 3.07
DOS(E_F) in states/eV/cell: 1.1
Calculated volume in Å³/cell: 82.45
Symmetry: R-3m

abc: 3.8598 3.8598 6.7740
angles: 73.41 73.41 59.92
With the nearest neighbours (Å) after each atom.
Fractional coordinates of all 4 atoms:
Cu 0.0000 0.0000 0.5000  6 Te 2.74-2.75
Cr 0.5000 0.5000 0.0000  6 Te 2.74
Te 0.2501 0.2501 0.7513  3 Cr 2.74, 3 Cu 2.74-2.75
Te 0.7499 0.7499 0.2487  3 Cr 2.74, 3 Cu 2.74-2.75


#two ends up most stable, edging out the next structure by 420 meV per atom.


#one
The following is a DFT calculation (SCAN) of a PBEsol-optimized structure of CrCuW2.

Values from the calculation:
Total magnetization in μB per formula unit: 0.00
DOS(E_F) in states/eV/cell: 2.8
Calculated volume in Å³/cell: 54.21
Symmetry: Cmmm

abc: 2.8154 4.4704 4.4704
angles: 105.51 90.00 90.00
With the nearest neighbours (Å) after each atom.
Fractional coordinates of all 4 atoms:
Cr 0.5000 0.0000 0.0000  8 W 2.64, 2 Cu 2.71, 2 Cr 2.82
W 0.0000 0.5000 0.0000  4 Cr 2.64, 4 Cu 2.64, 4 W 2.71-2.82
Cu 0.5000 0.5000 0.5000  8 W 2.64, 2 Cr 2.71, 2 Cu 2.82
W 0.0000 0.0000 0.5000  4 Cu 2.64, 4 Cr 2.64, 4 W 2.71-2.82


#two
The following is a DFT calculation (SCAN) of a PBEsol-optimized structure of CrCuW2.

Values from the calculation:
Total magnetization in μB per formula unit: 0.00
DOS(E_F) in states/eV/cell: 2.3
Calculated volume in Å³/cell: 53.99
Symmetry: P4/mmm

abc: 3.6924 3.8252 3.8228
angles: 90.00 90.00 90.00
With the nearest neighbours (Å) after each atom.
Fractional coordinates of all 4 atoms:
W 0.0000 0.0000 0.0000  4 Cu 2.66, 4 Cr 2.66, 4 W 2.70
Cu 0.5000 0.0000 0.5000  8 W 2.66, 4 Cr 2.70
W 0.0000 0.5000 0.5000  4 Cr 2.66, 4 Cu 2.66, 4 W 2.70
Cr 0.5000 0.5000 0.0000  8 W 2.66, 4 Cu 2.70


#two ends up most stable, edging out the next structure by 59 meV per atom.